Crystalline UIrPbO6 at its relaxed geometry. Source: Alexandria, functional PBE-GGA.

ΔE_f (raw)	-1.771	eV/atom
raw total energy	-7.727	eV/atom

a = 7.2317 Å, b = 7.8596 Å, c = 10.8997 Å
α = 90.00°, β = 90.00°, γ = 90.00°
Last column: nearest neighbours and their distance in Å.
Space group Imma (No. 74)
Symmetry-distinct sites (fractional):
U1 0.0000 0.0000 0.0000 x4  6 O 2.10-2.12
Ir1 0.2500 0.2500 0.2500 x4  6 O 1.91-2.02
Pb1 0.0000 0.2500 0.5123 x4  1 O 2.25
O1 0.0000 0.2500 0.3059 x4  2 Ir 1.91
O2 0.0000 0.2500 0.9278 x4  2 U 2.12
O3 0.2184 0.0779 0.1139 x16  1 Ir 2.02, 1 U 2.10